No. 1
Below is crystalline PrY2ThN4 at its relaxed geometry, with properties calculated at the GGA-PBE level.

POSCAR file:
```
PrY2ThN4
1.0
3.5864 0.0000 0.0000
0.0000 6.1990 0.1174
0.0000 -2.1608 5.7997
N Th Y Pr
4 1 2 1
direct
0.5000 0.7554 0.7450 N
0.0000 0.2386 0.7421 N
0.0000 0.7614 0.2579 N
0.5000 0.2446 0.2550 N
0.0000 0.0000 0.0000 Th
0.5000 0.0000 0.5000 Y
0.0000 0.5000 0.5000 Y
0.5000 0.5000 0.0000 Pr
```

calculated density: 7.76 g/cm3
formation energy from raw total energies: -1570 meV/atom
calculated volume: 129.85 Å³/f.u.
space group: P2/m



No. 2
Below is crystalline LiCa2Ga3Ag12 at its relaxed geometry, with properties calculated at the GGA-PBE level.

POSCAR file:
```
LiCa2Ga3Ag12
1.0
-4.4263 -3.2939 -4.5777
2.6928 -6.5707 0.9855
-4.7883 -2.0146 4.9407
Ag Ca Li Ga
12 2 1 3
direct
0.8089 0.2952 0.8089 Ag
0.7048 0.1911 0.1911 Ag
0.1911 0.1911 0.7048 Ag
0.1280 0.5909 0.5909 Ag
0.1911 0.7048 0.1911 Ag
0.5909 0.5909 0.1280 Ag
0.8089 0.8089 0.2952 Ag
0.4091 0.4091 0.8720 Ag
0.8720 0.4091 0.4091 Ag
0.5909 0.1280 0.5909 Ag
0.2952 0.8089 0.8089 Ag
0.4091 0.8720 0.4091 Ag
0.2854 0.2854 0.2854 Ca
0.7146 0.7146 0.7146 Ca
0.0000 0.0000 0.0000 Li
0.0000 0.5000 0.0000 Ga
0.0000 0.0000 0.5000 Ga
0.5000 0.0000 0.0000 Ga
```

energy of formation: -39 meV per atom
calculated density: 7.27 g/cm3
calculated volume: 363.13 Å³/f.u.
space group: R-3m



No. 3
Below is crystalline Li3ZnTc at its relaxed geometry, with properties calculated at the GGA-PBE level.

POSCAR file:
```
Li3ZnTc
1.0
-1.7308 -3.1620 2.3502
3.2372 0.3217 2.8169
-2.2456 2.9010 2.2493
Li Zn Tc
3 1 1
direct
0.0000 0.0000 0.5000 Li
0.5000 0.0000 0.0000 Li
0.0000 0.5000 0.0000 Li
0.0000 0.0000 0.0000 Zn
0.5000 0.5000 0.5000 Tc
```

energy of formation: 968 meV per atom
calculated density: 3.84 g/cm3
ΔE to the lowest computed polymorph: 0 meV per atom
calculated volume: 79.69 Å³/f.u.
space group: Pm-3m



No. 4
Below is crystalline Ca2NiPt at its relaxed geometry, with properties calculated at the GGA-PBE level.

POSCAR file:
```
Ca2NiPt
1.0
-3.4075 -2.0688 -0.0224
0.1093 -0.2231 3.9786
-3.0367 4.9976 0.3637
Ca Ni Pt
2 1 1
direct
0.5000 0.5000 0.3238 Ca
0.0000 0.0000 0.9215 Ca
0.0000 0.0000 0.4453 Ni
0.5000 0.5000 0.8094 Pt
```

energy of formation: -196 meV per atom
calculated density: 5.96 g/cm3
calculated volume: 93.11 Å³/f.u.
space group: P4mm



No. 5
Below is crystalline Pa2GaAg at its relaxed geometry, with properties calculated at the GGA-PBE level.

POSCAR file:
```
Pa2GaAg
1.0
-2.4008 3.4160 2.8744
-5.0657 0.1837 0.0203
-2.5742 -1.4993 4.1014
Pa Ga Ag
2 1 1
direct
0.2500 0.2500 0.2500 Pa
0.7500 0.7500 0.7500 Pa
0.0000 0.0000 0.0000 Ga
0.5000 0.5000 0.5000 Ag
```

energy of formation: 183 meV per atom
calculated density: 11.53 g/cm3
ΔE to the lowest computed polymorph: 224 meV per atom
calculated volume: 92.10 Å³/f.u.
space group: Fm-3m



No. 6
Below is crystalline Mg2HgH at its relaxed geometry, with properties calculated at the GGA-PBE level.

POSCAR file:
```
Mg2HgH
1.0
-3.1221 0.9166 0.3379
-2.0148 -1.7292 1.9111
0.3330 4.3574 7.0936
Hg Mg H
1 2 1
direct
0.6773 0.6773 0.9681 Hg
0.1046 0.1046 0.6862 Mg
0.2493 0.2493 0.2520 Mg
0.4688 0.4688 0.5938 H
```

calculated density: 5.52 g/cm3
ΔE to the lowest computed polymorph: 63 meV per atom
calculated volume: 75.21 Å³/f.u.
space group: R3m



No. 7
Below is crystalline ZrAlOs at its relaxed geometry, with properties calculated at the GGA-PBE level.

POSCAR file:
```
ZrAlOs
1.0
4.5546 -0.0379 -2.5625
-2.9939 4.2825 -0.0976
-0.0150 0.0379 5.2260
Os Al Zr
2 2 2
direct
0.5000 0.0000 0.5000 Os
0.0000 0.5000 0.5000 Os
0.0000 0.5000 0.0000 Al
0.5000 0.5000 0.5000 Al
0.7500 0.8770 0.1270 Zr
0.2500 0.1230 0.8730 Zr
```

energy of formation: -552 meV per atom
calculated density: 10.09 g/cm3
calculated volume: 50.74 Å³/f.u.
space group: Imma



No. 8
Below is crystalline PmPuFePt at its relaxed geometry, with properties calculated at the GGA-PBE level.

POSCAR file:
```
PmPuFePt
1.0
4.9352 0.0000 0.0000
2.4676 4.2740 0.0000
2.4676 1.4247 4.0296
Pm Fe Pt Pu
1 1 1 1
direct
0.5000 0.5000 0.5000 Pm
0.7500 0.7500 0.7500 Fe
0.2500 0.2500 0.2500 Pt
0.0000 0.0000 0.0000 Pu
```

energy of formation: -303 meV per atom
calculated density: 12.50 g/cm3
calculated volume: 85.00 Å³/f.u.
space group: F-43m



No. 9
Below is crystalline Nb4FeCo at its relaxed geometry, with properties calculated at the GGA-PBE level.

POSCAR file:
```
Nb4FeCo
1.0
-3.6525 -3.3282 0.8097
4.1592 -1.5031 -2.3486
1.5195 1.3931 4.5634
Nb Fe Co
4 1 1
direct
0.5882 0.0882 0.1764 Nb
0.0882 0.9118 0.5000 Nb
0.4118 0.5882 0.5000 Nb
0.9118 0.4118 0.8236 Nb
0.5000 0.5000 0.0000 Fe
0.0000 0.0000 0.0000 Co
```

energy of formation: -122 meV per atom
calculated density: 8.53 g/cm3
calculated volume: 94.69 Å³/f.u.
space group: I422



No. 10
Below is crystalline Ac3DyAs4 at its relaxed geometry, with properties calculated at the GGA-PBE level.

POSCAR file:
```
Ac3DyAs4
1.0
7.7052 0.0673 0.0000
-2.6375 7.2405 0.0000
0.0000 0.0000 8.9130
As Ac Dy
8 6 2
direct
0.9986 0.7667 0.8838 As
0.0091 0.7568 0.3665 As
0.4909 0.2432 0.3665 As
0.0014 0.2333 0.1162 As
0.5091 0.7568 0.6335 As
0.4986 0.7667 0.1162 As
0.9909 0.2432 0.6335 As
0.5014 0.2333 0.8838 As
0.7500 0.5000 0.1230 Ac
0.7500 0.0000 0.3722 Ac
0.2500 0.5000 0.8770 Ac
0.7500 0.5000 0.6285 Ac
0.2500 0.0000 0.6278 Ac
0.2500 0.5000 0.3715 Ac
0.2500 0.0000 0.1221 Dy
0.7500 0.0000 0.8779 Dy
```

energy of formation: -1455 meV per atom
calculated density: 7.61 g/cm3
calculated volume: 249.42 Å³/f.u.
space group: P2/c



No. 11
Below is crystalline CrRuSe2 at its relaxed geometry, with properties calculated at the GGA-PBE level.

POSCAR file:
```
CrRuSe2
1.0
-2.6700 0.6328 -2.6791
-3.5968 -1.2138 0.5449
-3.3439 4.6770 1.7176
Cr Ru Se
1 1 2
direct
0.7500 0.7500 0.7500 Cr
0.2500 0.2500 0.2500 Ru
0.5068 0.5068 0.4809 Se
0.9932 0.9932 0.0191 Se
```

calculated density: 7.27 g/cm3
formation energy from raw total energies: 56 meV/atom
ΔE to the lowest computed polymorph: 327 meV per atom
calculated volume: 71.07 Å³/f.u.
space group: C2/m



No. 12
Below is crystalline NaSn6Pd8 at its relaxed geometry, with properties calculated at the GGA-PBE level.

POSCAR file:
```
NaSn6Pd8
1.0
7.9283 0.0000 0.0000
3.9642 6.8661 0.0000
3.9642 2.2887 5.4907
Pd Sn Na
8 6 1
direct
0.6856 0.6856 0.9431 Pd
0.3144 0.3144 0.0569 Pd
0.3770 0.7217 0.8170 Pd
0.9157 0.6230 0.1830 Pd
0.7217 0.0843 0.8170 Pd
0.0843 0.3770 0.8170 Pd
0.2783 0.9157 0.1830 Pd
0.6230 0.2783 0.1830 Pd
0.2295 0.5377 0.3206 Sn
0.7705 0.4623 0.6794 Sn
0.0878 0.7705 0.6794 Sn
0.9122 0.2295 0.3206 Sn
0.5377 0.9122 0.3206 Sn
0.4623 0.0878 0.6794 Sn
0.0000 0.0000 0.0000 Na
```

energy of formation: -431 meV per atom
calculated density: 8.81 g/cm3
calculated volume: 298.90 Å³/f.u.
space group: R-3



No. 13
Below is crystalline Re2HgGe at its relaxed geometry, with properties calculated at the GGA-PBE level.

POSCAR file:
```
Re2HgGe
1.0
0.4633 -3.6684 -2.5695
-3.6149 -2.4477 -1.1025
-1.5206 0.0132 -4.2381
Hg Re Ge
1 2 1
direct
0.5000 0.5000 0.5000 Hg
0.7500 0.7500 0.7500 Re
0.2500 0.2500 0.2500 Re
0.0000 0.0000 0.0000 Ge
```

energy of formation: 904 meV per atom
calculated density: 16.61 g/cm3
ΔE to the lowest computed polymorph: 0 meV per atom
calculated volume: 64.55 Å³/f.u.
space group: Fm-3m



No. 14
Below is crystalline Nd4Hg5Pt2 at its relaxed geometry, with properties calculated at the GGA-PBE level.

POSCAR file:
```
Nd4Hg5Pt2
1.0
-1.1030 -1.4519 3.3028
1.3058 -7.2279 -2.7412
9.0590 1.0737 3.4973
Hg Nd Pt
5 4 2
direct
0.0000 0.5443 0.3242 Hg
0.0000 0.5000 0.0000 Hg
0.0000 0.1698 0.1431 Hg
0.0000 0.8302 0.8569 Hg
0.0000 0.4557 0.6758 Hg
0.5000 0.7701 0.5623 Nd
0.5000 0.2299 0.4377 Nd
0.5000 0.8199 0.1446 Nd
0.5000 0.1801 0.8554 Nd
0.0000 0.9259 0.3636 Pt
0.0000 0.0741 0.6364 Pt
```

energy of formation: -666 meV per atom
calculated density: 11.35 g/cm3
calculated volume: 288.21 Å³/f.u.
space group: P2/m



No. 15
Below is crystalline Sr8AlAg2 at its relaxed geometry, with properties calculated at the GGA-PBE level.

POSCAR file:
```
Sr8AlAg2
1.0
6.4986 0.0906 -1.0752
-2.1313 8.0081 -3.3045
0.0039 -0.0565 8.9212
Sr Al Ag
8 1 2
direct
0.1765 0.3656 0.3656 Sr
0.3881 0.6725 0.9307 Sr
0.5734 0.0765 0.3337 Sr
0.9887 0.2245 0.7768 Sr
0.8071 0.6396 0.6396 Sr
0.3881 0.9307 0.6725 Sr
0.9887 0.7768 0.2245 Sr
0.5734 0.3337 0.0765 Sr
0.1317 0.0025 0.0025 Al
0.4920 0.3185 0.6929 Ag
0.4920 0.6929 0.3185 Ag
```

energy of formation: -78 meV per atom
calculated density: 3.37 g/cm3
calculated volume: 464.69 Å³/f.u.
space group: Cm



No. 16
Below is crystalline Ac4Zn3Ir2 at its relaxed geometry, with properties calculated at the GGA-PBE level.

POSCAR file:
```
Ac4Zn3Ir2
1.0
4.1182 0.0000 -1.1355
-0.6558 7.0194 -2.3786
0.1525 -0.0997 8.5888
Ac Ir Zn
4 2 3
direct
0.4353 0.1540 0.8706 Ac
0.5647 0.8460 0.1294 Ac
0.2314 0.7002 0.4628 Ac
0.7686 0.2998 0.5372 Ac
0.6114 0.4587 0.2228 Ir
0.3886 0.5413 0.7772 Ir
0.0000 0.5000 0.0000 Zn
0.9024 0.7598 0.8047 Zn
0.0976 0.2402 0.1953 Zn
```

energy of formation: -402 meV per atom
calculated density: 9.95 g/cm3
calculated volume: 248.45 Å³/f.u.
space group: C2/m



No. 17
Below is crystalline SeIBr2F at its relaxed geometry, with properties calculated at the GGA-PBE level.

POSCAR file:
```
SeIBr2F
1.0
5.6188 0.0000 0.0000
0.0000 5.6188 0.0000
0.0000 0.0000 5.4371
I Se Br F
1 1 2 1
direct
0.0000 0.0000 0.0000 I
0.0000 0.0000 0.5000 Se
0.0000 0.5000 0.0000 Br
0.5000 0.0000 0.0000 Br
0.5000 0.5000 0.5000 F
```

calculated density: 3.72 g/cm3
formation energy from raw total energies: 433 meV/atom
ΔE to the lowest computed polymorph: 171 meV per atom
calculated volume: 171.65 Å³/f.u.
space group: P4/mmm



No. 18
Below is crystalline Sr2CaLaAu at its relaxed geometry, with properties calculated at the GGA-PBE level.

POSCAR file:
```
Sr2CaLaAu
1.0
-4.4453 0.1524 4.2621
1.9166 -5.4283 2.1931
3.6278 2.7696 3.6847
Au Sr La Ca
1 2 1 1
direct
0.0000 0.0000 0.0000 Au
0.5000 0.0000 0.0000 Sr
0.0000 0.5000 0.0000 Sr
0.0000 0.0000 0.5000 La
0.5000 0.5000 0.5000 Ca
```

energy of formation: -219 meV per atom
calculated density: 4.11 g/cm3
calculated volume: 222.60 Å³/f.u.
space group: P4/mmm



No. 19
Below is crystalline Li2Pm2Au3 at its relaxed geometry, with properties calculated at the GGA-PBE level.

POSCAR file:
```
Li2Pm2Au3
1.0
-1.5211 -3.3519 0.4450
-0.0850 -0.4164 -3.4278
9.8466 -6.4474 0.5391
Au Li Pm
3 2 2
direct
0.1653 0.0000 0.6693 Au
0.8347 0.0000 0.3307 Au
0.0000 0.0000 0.0000 Au
0.2855 0.5000 0.4290 Li
0.7145 0.5000 0.5710 Li
0.5824 0.5000 0.8353 Pm
0.4176 0.5000 0.1647 Pm
```

energy of formation: -572 meV per atom
calculated density: 9.97 g/cm3
calculated volume: 149.01 Å³/f.u.
space group: Cmmm



No. 20
Below is crystalline Re3NiW at its relaxed geometry, with properties calculated at the GGA-PBE level.

POSCAR file:
```
Re3NiW
1.0
4.3701 0.0000 0.0000
0.0000 4.3701 0.0000
0.0000 0.0000 4.3701
W Re Ni
1 3 1
direct
0.5000 0.5000 0.5000 W
0.0000 0.5000 0.0000 Re
0.0000 0.0000 0.5000 Re
0.5000 0.0000 0.0000 Re
0.0000 0.0000 0.0000 Ni
```

energy of formation: 1714 meV per atom
calculated density: 15.94 g/cm3
ΔE to the lowest computed polymorph: 0 meV per atom
calculated volume: 83.46 Å³/f.u.
space group: Pm-3m